1.
First-principles (GGA-PBE) data for Rb2LiZrF6 after structural relaxation, as listed in Alexandria via LeMat-Bulk.

E_tot: -5.386 eV/atom
DOS at the Fermi energy: 2.551 states/eV/atom

Unit cell a=6.0558 b=6.0558 c=8.6907 alpha=90.00 beta=90.00 gamma=90.00
Closest atoms and distances in Å follow each position.
Space group I4/mmm (No. 139)
Asymmetric unit:
Rb  0.0000  0.5000  0.2500  12 F 3.03-3.05
Li  0.0000  0.0000  0.0000  6 F 2.15-2.16
Zr  0.0000  0.0000  0.5000  6 F 2.13-2.19
F  0.0000  0.0000  0.2480  1 Li 2.16, 1 Zr 2.19
F  0.2490  0.2490  0.5000  1 Zr 2.13, 1 Li 2.15


2.
First-principles (GGA-PBE) data for Ba2BeCd after structural relaxation, as listed in Alexandria via LeMat-Bulk.

energy of formation: 0.146 eV/atom
DOS at the Fermi energy: 0.894 states/eV/atom

Unit cell a=3.9917 b=5.8585 c=11.1975 alpha=90.00 beta=90.00 gamma=90.00
Closest atoms and distances in Å follow each position.
Space group Imm2 (No. 44)
Asymmetric unit:
Ba  0.0000  0.0000  0.0000  2 Be 3.51, 2 Ba 3.58, 4 Cd 3.74
Ba  0.0000  0.5000  0.1837  4 Ba 3.58-3.99, 4 Be 3.64, 4 Cd 3.75-3.81
Be  0.0000  0.5000  0.7576  2 Cd 2.51
Cd  0.0000  0.0000  0.3934  2 Be 2.51


3.
First-principles (GGA-PBE) data for AcSbAuSe after structural relaxation, as listed in Alexandria via LeMat-Bulk.

E_tot: -4.767 eV/atom
DOS at the Fermi energy: 0.209 states/eV/atom

Unit cell a=4.8291 b=4.8291 c=36.2659 alpha=90.00 beta=90.00 gamma=120.00
Closest atoms and distances in Å follow each position.
Space group R-3m (No. 166, hexagonal axes)
Asymmetric unit:
Ac  0.0000  0.0000  0.1057  4 Se 3.01-3.29
Sb  0.0000  0.0000  0.2949  4 Au 2.79-2.94
Au  0.0000  0.0000  0.3759  4 Sb 2.79-2.94
Se  0.0000  0.0000  0.1964  4 Ac 3.01-3.29